Computed, not measured: a relaxed PmPr6NdEr2 crystal at the PBE-GGA level of DFT.

```
data_PmPr6NdEr2
_chemical_formula_sum 'Pm4 Pr24 Nd4 Er8'
_cell_length_a 9.406
_cell_length_b 15.339
_cell_length_c 9.822
_cell_angle_alpha 90.00
_cell_angle_beta 97.93
_cell_angle_gamma 90.00
_space_group_name_H-M_alt 'C 1 2/c 1'
_space_group_IT_number 15
loop_
_space_group_symop_operation_xyz
'x,y,z'
'-x,-y,-z'
'-x,y,-z+1/2'
'x,-y,z+1/2'
'x+1/2,y+1/2,z'
'-x+1/2,-y+1/2,-z'
'-x+1/2,y+1/2,-z+1/2'
'x+1/2,-y+1/2,z+1/2'
loop_
_atom_site_label
_atom_site_fract_x
_atom_site_fract_y
_atom_site_fract_z
Pm1 0.000 0.031 0.250
Pr1 0.067 0.175 0.944
Pr2 0.095 0.392 0.119
Pr3 0.212 0.225 0.317
Nd1 0.000 0.407 0.750
Er1 0.245 0.047 0.549
```

Calculated formation energy, eV/atom: 0.11
Total magnetization, μB per formula unit: 0.00
VASP energy, eV per atom: -4.621
ρ, g/cm3: 6.95